[1]
VASP calculation (GGA-PBE) on crystalline Sm6Ge2BiSe3 at its relaxed geometry.

Lattice parameters (Å, degrees): 9.5481 9.5481 8.5829 102.35 102.35 25.90
Fractional positions:
Sm1 0.0056 0.0056 0.2645
Sm2 0.3279 0.3279 0.9006
Sm3 0.3300 0.3300 0.4218
Sm4 0.6700 0.6700 0.5782
Sm5 0.6721 0.6721 0.0994
Sm6 0.9944 0.9944 0.7355
Ge1 0.1675 0.1675 0.3355
Ge2 0.8325 0.8325 0.6645
Bi1 0.5000 0.5000 0.0000
Se1 0.1644 0.1644 0.8340
Se2 0.5000 0.5000 0.5000
Se3 0.8356 0.8356 0.1660

## Properties
Its magnetization is 0.00 μB per formula unit.

---

[2]
VASP calculation (GGA-PBE) on crystalline Sm6Ge3BiSe2 at its relaxed geometry.

Lattice parameters (Å, degrees): 9.6015 9.6015 8.6481 103.57 103.57 25.56
Fractional positions:
Sm1 0.9997 0.9997 0.2336
Sm2 0.0003 0.0003 0.7664
Sm3 0.3263 0.3263 0.4171
Sm4 0.3347 0.3347 0.9112
Sm5 0.6653 0.6653 0.0888
Sm6 0.6737 0.6737 0.5829
Ge1 0.1656 0.1656 0.3319
Ge2 0.5000 0.5000 0.0000
Ge3 0.8344 0.8344 0.6681
Bi1 0.5000 0.5000 0.5000
Se1 0.1683 0.1683 0.8363
Se2 0.8317 0.8317 0.1637

## Properties
Its magnetization is 0.00 μB per formula unit.

---

[3]
VASP calculation (GGA-PBE) on crystalline Sr2GeBiSe5 at its relaxed geometry.

Lattice parameters (Å, degrees): 9.4928 9.4928 12.7146 90.00 90.00 153.05
Fractional positions:
Sr1 0.1150 0.8850 0.5000
Sr2 0.1206 0.8794 0.1462
Sr3 0.8794 0.1206 0.6462
Sr4 0.8850 0.1150 0.0000
Ge1 0.4472 0.5528 0.2489
Ge2 0.5528 0.4472 0.7489
Bi1 0.2060 0.7940 0.8488
Bi2 0.7940 0.2060 0.3488
Se1 0.0317 0.9683 0.8353
Se2 0.2883 0.7117 0.5015
Se3 0.3193 0.6807 0.1834
Se4 0.3556 0.6444 0.8241
Se5 0.4957 0.5043 0.5775
Se6 0.5043 0.4957 0.0775
Se7 0.6444 0.3556 0.3241
Se8 0.6807 0.3193 0.6834
Se9 0.7117 0.2883 0.0015
Se10 0.9683 0.0317 0.3353

## Properties
Its magnetization is 0.00 μB per formula unit.

---

[4]
VASP calculation (GGA-PBE) on crystalline Tb4GeBiSe2 at its relaxed geometry.

Lattice parameters (Å, degrees): 7.2816 4.2308 7.3933 90.00 109.49 90.00
Fractional positions:
Tb1 0.2441 0.0000 0.2345
Tb2 0.2534 0.5000 0.7679
Tb3 0.7466 0.5000 0.2321
Tb4 0.7559 0.0000 0.7655
Ge1 0.0000 0.5000 0.0000
Bi1 0.0000 0.0000 0.5000
Se1 0.5000 0.0000 0.0000
Se2 0.5000 0.5000 0.5000

## Properties
Its magnetization is 0.00 μB per formula unit.

---

[5]
VASP calculation (GGA-PBE) on crystalline Tb4GeBi2Se at its relaxed geometry.

Lattice parameters (Å, degrees): 7.4472 4.2920 7.5486 90.00 109.09 90.00
Fractional positions:
Tb1 0.2373 0.0000 0.2275
Tb2 0.2478 0.5000 0.7692
Tb3 0.7522 0.5000 0.2308
Tb4 0.7627 0.0000 0.7725
Ge1 0.0000 0.5000 0.0000
Bi1 0.0000 0.0000 0.5000
Bi2 0.5000 0.5000 0.5000
Se1 0.5000 0.0000 0.0000

## Properties
Its magnetization is 0.00 μB per formula unit.

---

[6]
VASP calculation (GGA-PBE) on crystalline Th6Ge2BiSe3 at its relaxed geometry.

Lattice parameters (Å, degrees): 9.5703 9.5703 8.6051 101.00 101.00 26.13
Fractional positions:
Th1 0.0045 0.0045 0.2729
Th2 0.3240 0.3240 0.9058
Th3 0.3313 0.3313 0.4212
Th4 0.6687 0.6687 0.5788
Th5 0.6760 0.6760 0.0942
Th6 0.9955 0.9955 0.7271
Ge1 0.1676 0.1676 0.3326
Ge2 0.8324 0.8324 0.6674
Bi1 0.5000 0.5000 0.0000
Se1 0.1608 0.1608 0.8316
Se2 0.5000 0.5000 0.5000
Se3 0.8392 0.8392 0.1684

## Properties
Its magnetization is 0.00 μB per formula unit.

---

[7]
VASP calculation (GGA-PBE) on crystalline Th4GeBi2Se at its relaxed geometry.

Lattice parameters (Å, degrees): 7.5788 4.4009 7.7982 90.00 109.17 90.00
Fractional positions:
Th1 0.2367 0.0000 0.2176
Th2 0.2583 0.5000 0.7824
Th3 0.7417 0.5000 0.2176
Th4 0.7633 0.0000 0.7824
Ge1 0.0000 0.5000 0.0000
Bi1 0.0000 0.0000 0.5000
Bi2 0.5000 0.5000 0.5000
Se1 0.5000 0.0000 0.0000

## Properties
Its magnetization is 0.00 μB per formula unit.

---

[8]
VASP calculation (GGA-PBE) on crystalline TlGeBiSe4 at its relaxed geometry.

Lattice parameters (Å, degrees): 6.9192 7.1181 8.9535 90.00 107.44 90.00
Fractional positions:
Tl1 0.2444 0.2500 0.0637
Tl2 0.7556 0.7500 0.9363
Ge1 0.2246 0.7500 0.3193
Ge2 0.7754 0.2500 0.6807
Bi1 0.2346 0.2500 0.5507
Bi2 0.7654 0.7500 0.4493
Se1 0.0068 0.5082 0.7247
Se2 0.0068 0.9918 0.7247
Se3 0.4331 0.7500 0.1537
Se4 0.4331 0.7500 0.5843
Se5 0.5669 0.2500 0.4157
Se6 0.5669 0.2500 0.8463
Se7 0.9932 0.0081 0.2753
Se8 0.9932 0.4918 0.2753

## Properties
Its magnetization is 0.00 μB per formula unit.

---

[9]
VASP calculation (GGA-PBE) on crystalline Tl2GeBiSe4 at its relaxed geometry.

Lattice parameters (Å, degrees): 9.1854 9.6504 6.3411 90.00 90.00 90.00
Fractional positions:
Tl1 0.2360 0.1480 0.0000
Tl2 0.2640 0.8520 0.5000
Tl3 0.7360 0.8520 0.5000
Tl4 0.7640 0.1480 0.0000
Ge1 0.0000 0.6475 0.9197
Ge2 0.5000 0.3525 0.4197
Bi1 0.0000 0.3587 0.4545
Bi2 0.5000 0.6413 0.9545
Se1 0.0000 0.3928 0.0118
Se2 0.0000 0.6531 0.5293
Se3 0.2230 0.7775 0.0144
Se4 0.2770 0.2225 0.5144
Se5 0.5000 0.3469 0.0293
Se6 0.5000 0.6072 0.5118
Se7 0.7230 0.2225 0.5144
Se8 0.7770 0.7775 0.0144

## Properties
Its magnetization is 0.00 μB per formula unit.

---

[10]
VASP calculation (GGA-PBE) on crystalline Tl3GeBi3Se8 at its relaxed geometry.

Lattice parameters (Å, degrees): 9.2365 9.2365 9.2365 53.78 53.78 53.78
Fractional positions:
Tl1 0.0000 0.5000 0.5000
Tl2 0.5000 0.0000 0.5000
Tl3 0.5000 0.5000 0.0000
Ge1 0.5000 0.5000 0.5000
Bi1 0.0000 0.0000 0.5000
Bi2 0.0000 0.5000 0.0000
Bi3 0.5000 0.0000 0.0000
Se1 0.2390 0.2390 0.2390
Se2 0.2704 0.7125 0.7125
Se3 0.2875 0.2875 0.7296
Se4 0.2875 0.7296 0.2875
Se5 0.7125 0.2704 0.7125
Se6 0.7125 0.7125 0.2704
Se7 0.7296 0.2875 0.2875
Se8 0.7610 0.7610 0.7610

## Properties
Its magnetization is 0.00 μB per formula unit.

---

[11]
VASP calculation (GGA-PBE) on crystalline Y4GeBiSe2 at its relaxed geometry.

Lattice parameters (Å, degrees): 7.2708 4.2192 7.3727 90.00 109.46 90.00
Fractional positions:
Y1 0.2434 0.0000 0.2339
Y2 0.2529 0.5000 0.7680
Y3 0.7471 0.5000 0.2320
Y4 0.7566 0.0000 0.7661
Ge1 0.0000 0.5000 0.0000
Bi1 0.0000 0.0000 0.5000
Se1 0.5000 0.0000 0.0000
Se2 0.5000 0.5000 0.5000

## Properties
Its magnetization is 0.00 μB per formula unit.

---

[12]
VASP calculation (GGA-PBE) on crystalline Y4GeBi2Se at its relaxed geometry.

Lattice parameters (Å, degrees): 7.4311 4.2834 7.5336 90.00 109.06 90.00
Fractional positions:
Y1 0.2369 0.0000 0.2270
Y2 0.2474 0.5000 0.7690
Y3 0.7526 0.5000 0.2310
Y4 0.7631 0.0000 0.7730
Ge1 0.0000 0.5000 0.0000
Bi1 0.0000 0.0000 0.5000
Bi2 0.5000 0.5000 0.5000
Se1 0.5000 0.0000 0.0000

## Properties
Its magnetization is 0.00 μB per formula unit.

---

Number 1: formation energy without anion corrections -16.70 eV/f.u.. Number 2: formation energy without anion corrections -14.28 eV/f.u.. Number 3: formation energy without anion corrections -9.78 eV/f.u.. Number 4: formation energy without anion corrections -10.82 eV/f.u.. Number 5: formation energy without anion corrections -8.89 eV/f.u.. Number 6: formation energy without anion corrections -13.80 eV/f.u.. Number 7: formation energy without anion corrections -7.24 eV/f.u.. Number 8: formation energy without anion corrections -2.41 eV/f.u.. Number 9: formation energy without anion corrections -2.34 eV/f.u.. Number 10: formation energy without anion corrections -5.32 eV/f.u.. Number 11: formation energy without anion corrections -10.90 eV/f.u.. Number 12: formation energy without anion corrections -9.00 eV/f.u..